1.
A plane-wave DFT calculation with PBE was carried out for a relaxed CoPd3Se crystal.

Values from the calculation:
The calculation puts the density of states at the Fermi level at 0.9800 states/eV per atom. Its space group is No. 221. Its distance to the lowest polymorph of the same formula is 0.000 eV per atom. As for the crystal system: cubic. The uncorrected formation energy is 0.58 eV/atom.

Lattice parameters (Å, degrees): 4.646 4.646 4.646 90.00 90.00 90.00
Last column: magnetic moment on the atom in μB.
Atoms (fractional coordinates):
Co 0.500 0.500 0.500  2.16
Pd 0.500 0.000 0.000  0.05
Pd 0.000 0.500 0.000  0.02
Pd 0.000 0.000 0.500  0.01
Se 0.000 0.000 0.000  0.01

2.
A plane-wave DFT calculation with PBE was carried out for a relaxed CoPd2Se2 crystal.

Values from the calculation:
The calculation puts the density of states at the Fermi level at 0.8777 states/eV per atom. Its space group is No. 127. As for the crystal system: tetragonal. The uncorrected formation energy is 0.06 eV/atom.

Lattice parameters (Å, degrees): 6.572 6.572 3.870 90.00 90.00 90.00
Last column: magnetic moment on the atom in μB.
Atoms (fractional coordinates):
Pd 0.651 0.849 0.500  0.03
Pd 0.849 0.349 0.500  0.03
Pd 0.349 0.151 0.500  0.03
Pd 0.151 0.651 0.500  0.03
Se 0.831 0.669 0.000  0.02
Se 0.169 0.331 0.000  0.02
Se 0.669 0.169 0.000  0.01
Se 0.331 0.831 0.000  0.01
Co 0.000 0.000 0.000  1.34
Co 0.500 0.500 0.000  1.33

3.
A plane-wave DFT calculation with PBE was carried out for a relaxed CoPd3Se crystal.

Values from the calculation:
The calculation puts the density of states at the Fermi level at 0.9274 states/eV per atom. Its space group is No. 221. Its distance to the lowest polymorph of the same formula is 0.193 eV per atom. As for the crystal system: cubic. The uncorrected formation energy is 0.77 eV/atom.

Lattice parameters (Å, degrees): 4.587 4.587 4.587 90.00 90.00 90.00
Last column: magnetic moment on the atom in μB.
Atoms (fractional coordinates):
Pd 0.000 0.000 0.500  0.61
Pd 0.500 0.000 0.000  0.16
Pd 0.000 0.500 0.000  0.38
Se 0.500 0.500 0.500  0.08
Co 0.000 0.000 0.000  2.08

4.
A plane-wave DFT calculation with PBE was carried out for a relaxed CoPdSe3 crystal.

Values from the calculation:
The calculation puts the density of states at the Fermi level at 0.5939 states/eV per atom. Its space group is No. 12. Its distance to the lowest polymorph of the same formula is 0.000 eV per atom. As for the crystal system: monoclinic. The uncorrected formation energy is -0.24 eV/atom.

Lattice parameters (Å, degrees): 3.727 7.971 6.733 96.24 90.00 103.52
Atoms (fractional coordinates):
Se 0.981 0.963 0.182
Se 0.835 0.671 0.480
Se 0.681 0.361 0.072
Se 0.019 0.037 0.818
Se 0.319 0.639 0.928
Se 0.165 0.329 0.520
Co 0.833 0.665 0.139
Co 0.167 0.335 0.861
Pd 0.569 0.137 0.357
Pd 0.431 0.863 0.643

5.
A plane-wave DFT calculation with PBE was carried out for a relaxed CoPdSe2 crystal.

Values from the calculation:
The calculation puts the density of states at the Fermi level at 1.0059 states/eV per atom. Its space group is No. 122. Its distance to the lowest polymorph of the same formula is 0.024 eV per atom. As for the crystal system: tetragonal. The uncorrected formation energy is -0.13 eV/atom.

Lattice parameters (Å, degrees): 5.531 5.531 6.651 65.43 65.43 90.00
Atoms (fractional coordinates):
Pd 0.750 0.250 0.500
Pd 0.000 0.000 0.000
Co 0.500 0.500 0.000
Co 0.250 0.750 0.500
Se 0.875 0.839 0.750
Se 0.589 0.125 0.250
Se 0.161 0.625 0.250
Se 0.375 0.411 0.750

6.
A plane-wave DFT calculation with PBE was carried out for a relaxed Co3PdSe crystal.

Values from the calculation:
The calculation puts the density of states at the Fermi level at 1.1242 states/eV per atom. Its space group is No. 221. Its distance to the lowest polymorph of the same formula is 0.000 eV per atom. As for the crystal system: cubic. The uncorrected formation energy is 0.66 eV/atom.

Lattice parameters (Å, degrees): 4.307 4.307 4.307 90.00 90.00 90.00
Last column: magnetic moment on the atom in μB.
Atoms (fractional coordinates):
Se 0.000 0.000 0.000  0.02
Co 0.000 0.500 0.000  1.44
Co 0.000 0.000 0.500  1.16
Co 0.500 0.000 0.000  1.90
Pd 0.500 0.500 0.500  0.23

7.
A plane-wave DFT calculation with PBE was carried out for a relaxed Co3Pd2Se8 crystal.

Values from the calculation:
The calculation puts the density of states at the Fermi level at 0.6574 states/eV per atom. Its space group is No. 186. As for the crystal system: hexagonal. The uncorrected formation energy is -0.26 eV/atom.

Lattice parameters (Å, degrees): 7.147 7.147 11.449 90.00 90.00 120.00
Atoms (fractional coordinates):
Co 0.835 0.165 0.746
Co 0.165 0.331 0.246
Co 0.165 0.835 0.246
Co 0.669 0.835 0.246
Co 0.331 0.165 0.746
Co 0.835 0.669 0.746
Se 0.963 0.481 0.865
Se 0.701 0.851 0.631
Se 0.851 0.701 0.131
Se 0.851 0.149 0.131
Se 0.333 0.667 0.146
Se 0.149 0.299 0.631
Se 0.519 0.037 0.865
Se 0.667 0.333 0.646
Se 0.000 0.000 0.854
Se 0.000 0.000 0.354
Se 0.149 0.851 0.631
Se 0.299 0.149 0.131
Se 0.481 0.963 0.365
Se 0.037 0.519 0.365
Se 0.519 0.481 0.865
Se 0.481 0.519 0.365
Pd 0.333 0.667 0.934
Pd 0.667 0.333 0.434
Pd 0.667 0.333 0.033
Pd 0.333 0.667 0.533

8.
A plane-wave DFT calculation with PBE was carried out for a relaxed Co4PdSe8 crystal.

Values from the calculation:
The calculation puts the density of states at the Fermi level at 0.5194 states/eV per atom. Its space group is No. 216. As for the crystal system: cubic. The uncorrected formation energy is -0.30 eV/atom.

Lattice parameters (Å, degrees): 7.101 7.101 7.101 60.00 60.00 60.00
Atoms (fractional coordinates):
Co 0.886 0.371 0.371
Co 0.371 0.371 0.886
Co 0.371 0.371 0.371
Co 0.371 0.886 0.371
Pd 0.750 0.750 0.750
Se 0.588 0.137 0.137
Se 0.610 0.610 0.170
Se 0.610 0.610 0.610
Se 0.137 0.137 0.137
Se 0.170 0.610 0.610
Se 0.610 0.170 0.610
Se 0.137 0.588 0.137
Se 0.137 0.137 0.588